No. 1
MgSc2BeCu | PBE | relaxed

extended XYZ file:
```
5
Lattice="5.163 0.000 0.000 0.000 4.248 0.000 0.000 0.000 5.163" Properties=species:S:1:pos:R:3 pbc="T T T"
Cu 2.582 2.124 2.582
Be 0.000 2.124 0.000
Sc 0.000 0.000 2.582
Mg 0.000 0.000 0.000
Sc 2.582 0.000 0.000
```

Spin magnetization ... 0.70 μB/f.u.
E_tot ... -0.2488 Ry/atom
Space-group type ... P4/mmm
Calculated volume ... 22.65 Å³ per atom
Formation energy from the elements ... 1.030 eV per atom


No. 2
Mg2BeCu5Si2 | PBE | relaxed

extended XYZ file:
```
20
Lattice="-1.845 0.172 2.779 -4.229 -7.739 -2.328 6.320 -4.804 4.492" Properties=species:S:1:pos:R:3 pbc="T T T"
Mg 3.843 -6.502 2.953
Cu -3.713 -8.148 0.047
Si -1.336 -8.542 -0.358
Cu -1.385 -1.655 1.190
Mg 0.758 -9.633 1.099
Mg 1.333 -2.911 1.065
Mg -1.752 -6.042 -0.789
Be 1.045 -6.272 1.082
Cu -0.854 -4.845 1.741
Si -0.769 -3.495 -0.294
Cu 1.276 -4.969 3.162
Si 2.860 -9.048 2.458
Si 3.426 -4.002 2.522
Cu 2.237 -2.316 3.636
Cu -3.037 -3.784 0.226
Be 0.000 0.000 0.000
Cu 1.099 -7.527 3.203
Cu -1.030 -7.402 1.781
Cu 1.631 -10.716 3.753
Cu 3.958 -4.223 4.896
```

Spin magnetization ... 0.00 μB/f.u.
E_tot ... -0.2792 Ry/atom
Space-group type ... P4/mbm
Calculated volume ... 13.90 Å³ per atom
Formation energy (no corrections) ... 0.03 eV per atom


No. 3
SmMgBeCu | PBE | relaxed

extended XYZ file:
```
4
Lattice="-1.806 0.896 4.257 -3.772 -2.385 1.508 0.443 -3.165 3.460" Properties=species:S:1:pos:R:3 pbc="T T T"
Sm 0.000 0.000 0.000
Cu -1.284 -1.163 2.306
Be -3.851 -3.490 6.919
Mg -2.567 -2.327 4.613
```

Spin magnetization ... 0.00 μB/f.u.
E_tot ... -0.2613 Ry/atom
Space-group type ... F-43m
Calculated volume ... 18.47 Å³ per atom
Formation energy from the elements ... -0.021 eV per atom


No. 4
TmMgBeCu | PBE | relaxed

extended XYZ file:
```
4
Lattice="4.599 0.000 0.000 2.299 3.983 0.000 2.299 1.328 3.755" Properties=species:S:1:pos:R:3 pbc="T T T"
Mg 2.299 1.328 0.939
Cu 0.000 0.000 0.000
Tm 6.898 3.983 2.816
Be 4.599 2.655 1.877
```

Spin magnetization ... 0.00 μB/f.u.
E_tot ... -0.2592 Ry/atom
Space-group type ... F-43m
Calculated volume ... 17.19 Å³ per atom
Formation energy from the elements ... -0.055 eV per atom


No. 5
MnBeCu2 | PBE | relaxed

extended XYZ file:
```
4
Lattice="3.997 0.000 0.000 1.998 3.461 0.000 1.998 1.154 3.263" Properties=species:S:1:pos:R:3 pbc="T T T"
Mn 5.995 3.461 2.448
Cu 1.998 1.154 0.816
Cu 0.000 0.000 0.000
Be 3.997 2.308 1.632
```

Spin magnetization ... 2.95 μB/f.u.
E_tot ... -0.3817 Ry/atom
Space-group type ... F-43m
Calculated volume ... 11.29 Å³ per atom
Formation energy from the elements ... 0.079 eV per atom


No. 6
MnBe2Cu | PBE | relaxed

extended XYZ file:
```
4
Lattice="-2.732 -3.527 -0.538 0.275 -1.939 -4.045 2.261 1.057 3.737" Properties=species:S:1:pos:R:3 pbc="T T T"
Be -1.245 -2.771 -2.323
Mn 0.654 -1.808 -1.299
Cu -0.850 -2.602 0.454
Be -2.440 -5.429 -4.551
```

Spin magnetization ... 2.41 μB/f.u.
E_tot ... -0.3700 Ry/atom
Space-group type ... Immm
Calculated volume ... 10.37 Å³ per atom
Formation energy from the elements ... 0.146 eV per atom